(1)
VASP calculation (GGA-PBE) on a relaxed structure of Ta4NbTc.

Results
The value obtained for the relative energy among the computed polymorphs is 0.000 eV/atom. The value obtained for the formation energy is -0.193 eV per atom. The total magnetic moment comes out at 0.0 μB/f.u. The crystal system is tetragonal.

```
Ta4NbTc
1.0
3.2403 0.0000 0.0000
0.0000 3.2403 0.0000
0.0000 0.0000 9.9989
Ta Nb Tc
4 1 1
Cartesian
0.0000 0.0000 6.5666
0.0000 0.0000 3.4322
1.6202 1.6202 8.3175
1.6202 1.6202 1.6813
0.0000 0.0000 0.0000
1.6202 1.6202 4.9994
```

(2)
VASP calculation (GGA-PBE) on a relaxed structure of Ta2Nb2Tc.

Results
The value obtained for the relative energy among the computed polymorphs is 0.365 eV/atom. The value obtained for the formation energy is 0.133 eV per atom. The total magnetic moment comes out at 0.0 μB/f.u. The crystal system is monoclinic.

```
Ta2Nb2Tc
1.0
6.1522 0.0000 0.0988
3.0761 4.2876 0.0494
2.6973 0.0000 6.8971
Nb Ta Tc
4 4 2
Cartesian
4.7981 0.0000 6.1092
5.7733 0.0000 3.0644
3.0761 0.0000 3.9315
4.0513 0.0000 0.8866
7.9240 1.6031 2.1070
7.0776 1.6031 4.9877
4.8479 2.6846 2.0576
4.0015 2.6846 4.9383
6.1522 1.4784 0.0988
3.0761 2.8093 0.0494
```

(3)
VASP calculation (GGA-PBE) on a relaxed structure of Ta2NbTc.

Results
The value obtained for the relative energy among the computed polymorphs is 0.861 eV/atom. The value obtained for the formation energy is 0.585 eV per atom. The total magnetic moment comes out at 0.0 μB/f.u. The crystal system is orthorhombic.

```
Ta2NbTc
1.0
4.8044 -1.8387 -3.1196
-1.4559 4.9339 3.1196
-3.2112 0.1152 5.0862
Tc Ta Nb
1 2 1
Cartesian
-2.3336 2.5246 4.1029
-1.2357 1.3368 2.1726
-3.4314 3.7123 6.0332
0.0000 0.0000 0.0000
```

(4)
VASP calculation (GGA-PBE) on a relaxed structure of TaNbTc2.

Results
The value obtained for the relative energy among the computed polymorphs is 0.000 eV/atom. The value obtained for the formation energy is -0.423 eV per atom. The total magnetic moment comes out at 0.0 μB/f.u. The crystal system is cubic.

```
TaNbTc2
1.0
0.0000 3.1907 3.1907
3.1907 0.0000 3.1907
3.1907 3.1907 0.0000
Tc Nb Ta
2 1 1
Cartesian
1.5953 1.5953 1.5953
4.7860 4.7860 4.7860
0.0000 0.0000 0.0000
3.1907 3.1907 3.1907
```

(5)
VASP calculation (GGA-PBE) on a relaxed structure of Ta4NbTc.

Results
The value obtained for the relative energy among the computed polymorphs is 0.796 eV/atom. The value obtained for the formation energy is 0.603 eV per atom. The total magnetic moment comes out at 0.0 μB/f.u. The crystal system is trigonal.

```
Ta4NbTc
1.0
-3.9369 0.6649 -1.9170
-3.0800 -3.1855 0.1041
-4.9185 1.8611 5.6303
Nb Tc Ta
1 1 4
Cartesian
-5.9677 -0.3297 1.9087
0.0000 0.0000 0.0000
-4.9871 -1.3575 -0.4617
-3.9749 0.8730 3.3496
-6.9484 0.6980 4.2791
-7.9606 -1.5324 0.4678
```

(6)
VASP calculation (GGA-PBE) on a relaxed structure of TaNbTc2.

Results
The value obtained for the relative energy among the computed polymorphs is 0.930 eV/atom. The value obtained for the formation energy is 0.508 eV per atom. The total magnetic moment comes out at 0.0 μB/f.u. The crystal system is tetragonal.

```
TaNbTc2
1.0
7.1092 0.0000 0.0000
0.0000 7.1092 0.0000
3.5546 3.5546 2.7626
Ta Nb Tc
2 2 4
Cartesian
7.1092 3.5546 1.3813
0.0000 0.0000 0.0000
3.5546 3.5546 0.0000
3.5546 7.1092 1.3813
1.7807 5.3319 0.6906
5.3285 1.7773 0.6906
8.8865 8.8831 2.0719
5.3319 5.3352 2.0719
```

(7)
VASP calculation (GGA-PBE) on a relaxed structure of Ta2Nb8Tc.

Results
The value obtained for the formation energy is 0.082 eV per atom. The total magnetic moment comes out at 0.0 μB/f.u. The crystal system is monoclinic.

```
Ta2Nb8Tc
1.0
5.4214 0.2405 0.1680
1.1056 7.2928 1.8120
1.1056 4.2111 6.2238
Nb Tc Ta
8 1 2
Cartesian
5.1172 5.9338 4.1449
1.1148 3.1447 3.8244
6.5178 8.5997 4.3794
1.1148 4.6730 1.6365
6.5178 7.0714 6.5673
2.5154 5.8106 4.0589
2.7235 1.2878 0.8996
4.9091 10.4566 7.3042
0.0000 0.0000 0.0000
3.7206 3.6217 2.5298
3.9120 8.1227 5.6739
```

(8)
VASP calculation (GGA-PBE) on a relaxed structure of Ta2NbTc.

Results
The value obtained for the relative energy among the computed polymorphs is 0.024 eV/atom. The value obtained for the formation energy is -0.252 eV per atom. The total magnetic moment comes out at 0.0 μB/f.u. The crystal system is tetragonal.

```
Ta2NbTc
1.0
-2.1432 0.6966 -2.3377
0.5680 -4.1911 -1.7697
-3.3970 -1.5770 2.6444
Nb Ta Tc
1 2 1
Cartesian
-1.0716 0.3483 -1.1688
-1.6985 -0.7885 1.3222
0.2840 -2.0956 -0.8848
-2.4861 -2.5357 -0.7314
```

(9)
VASP calculation (GGA-PBE) on a relaxed structure of TaNb5Tc4.

Results
The value obtained for the formation energy is -0.293 eV per atom. The total magnetic moment comes out at 0.0 μB/f.u. The crystal system is tetragonal.

```
TaNb5Tc4
1.0
-1.3390 -1.3019 -2.6045
-0.8797 -2.5519 1.7278
-14.0591 7.2775 3.5899
Nb Ta Tc
5 1 4
Cartesian
-13.6595 4.5695 2.7663
-2.6183 -1.1458 -0.0531
-5.3794 0.2835 0.6520
-10.8983 3.1402 2.0612
-8.1389 1.7119 1.3566
0.0000 0.0000 0.0000
-8.4130 4.3549 2.1482
-5.6461 2.9226 1.4417
-2.8827 1.4922 0.7361
-11.1764 5.7853 2.8538
```

(10)
VASP calculation (GGA-PBE) on a relaxed structure of Ta4Nb3Tc.

Results
The value obtained for the formation energy is -0.143 eV per atom. The total magnetic moment comes out at 0.0 μB/f.u. The crystal system is tetragonal.

```
Ta4Nb3Tc
1.0
3.2595 0.0000 0.0000
0.0000 3.2595 0.0000
0.0000 0.0000 13.3149
Nb Tc Ta
3 1 4
Cartesian
1.6297 1.6297 6.6574
1.6297 1.6297 3.2904
1.6297 1.6297 10.0244
1.6297 1.6297 0.0000
0.0000 0.0000 8.3638
0.0000 0.0000 1.5650
0.0000 0.0000 4.9511
0.0000 0.0000 11.7499
```

(11)
VASP calculation (GGA-PBE) on a relaxed structure of TaNb2Tc.

Results
The value obtained for the relative energy among the computed polymorphs is 0.013 eV/atom. The value obtained for the formation energy is -0.243 eV per atom. The total magnetic moment comes out at 0.0 μB/f.u. The crystal system is tetragonal.

```
TaNb2Tc
1.0
-0.7876 4.4899 0.3360
0.0253 0.3466 -4.5576
-6.1005 -3.5481 1.9907
Ta Nb Tc
2 4 2
Cartesian
-5.1199 0.3503 -1.1471
-1.7429 0.9381 -1.0838
-4.7246 -2.0654 0.9640
-3.4441 0.4709 1.1634
-3.0376 -1.6008 -1.2835
-2.1383 3.3539 -3.1949
-0.5844 3.4540 -0.8875
-0.1780 1.3825 -3.3341
```

(12)
VASP calculation (GGA-PBE) on a relaxed structure of Ta2Nb2Tc.

Results
The value obtained for the relative energy among the computed polymorphs is 0.000 eV/atom. The value obtained for the formation energy is -0.233 eV per atom. The total magnetic moment comes out at 0.0 μB/f.u. The crystal system is tetragonal.

```
Ta2Nb2Tc
1.0
-2.4411 1.8142 1.1053
-0.2924 -1.9546 2.5625
6.7452 4.7556 2.3537
Ta Nb Tc
2 2 1
Cartesian
4.3565 3.7951 3.3919
-0.3447 0.8202 2.6296
2.1545 1.8769 1.6775
1.8572 2.7384 4.3440
0.0000 0.0000 0.0000
```

Q: Among the records above, which one has the lowest formation energy?
A: number 4